No. 1
Here is crystalline Sr3NbAu at its relaxed geometry from Alexandria. Energies are from PBE-GGA.

Computed properties:
Electronic total energy (eV/atom): -2.85
Size of the total moment (μB/cell): 0.000
DOS(E_F) (states/eV/cell): 3.77
DFT formation energy (meV per atom): 829
ΔE to the lowest computed polymorph (meV/atom): 371
Volume (A^3/atom): 38.17

Geometry as POSCAR:
```
Sr3NbAu
1.0
5.758 0.000 0.000
0.000 5.758 0.000
0.000 0.000 5.758
Sr Nb Au
3 1 1
Cartesian
0.000 0.000 2.879
2.879 0.000 0.000
0.000 2.879 0.000
0.000 0.000 0.000
2.879 2.879 2.879
```

No. 2
Here is crystalline Sr3NbAu at its relaxed geometry from Alexandria. Energies are from PBE-GGA.

Computed properties:
Electronic total energy (eV/atom): -3.22
Size of the total moment (μB/cell): 4.423
DOS(E_F) (states/eV/cell): 4.95
DFT formation energy (meV per atom): 458
ΔE to the lowest computed polymorph (meV/atom): 0
Volume (A^3/atom): 42.16

Geometry as POSCAR:
```
Sr3NbAu
1.0
-3.134 3.714 -3.436
-3.836 0.892 4.462
3.299 4.564 1.924
Sr Au Nb
3 1 1
Cartesian
1.650 2.282 0.962
-1.918 0.446 2.231
-1.567 1.857 -1.718
0.000 0.000 0.000
-1.835 4.585 1.475
```